! VSi2Ru4 | Alexandria | PBE | relaxed; values from VASP
&SYSTEM
  ibrav = 0, nat = 7, ntyp = 3
/
ATOMIC_SPECIES
Ru 101.07 Ru.upf
Si 28.09 Si.upf
V 50.94 V.upf
ATOMIC_POSITIONS angstrom
Ru -2.7558 3.0783 2.4446
Ru -6.0097 2.2694 1.8701
Ru -1.5397 -0.8523 1.3513
Ru -1.5819 1.0757 -1.1240
Si -2.9874 1.2709 1.0408
Si -5.7782 4.0769 3.2739
V 0.0000 0.0000 0.0000
CELL_PARAMETERS angstrom
-3.1638 2.1513 -2.2481
-3.0794 -1.7045 2.7026
-2.5223 4.9010 3.8602
! Energy above the lowest structure with this stoichiometry   1.164 eV per atom
! Magnetization   1.43 μB per formula unit
! Space-group type   I4/mmm

=====

! V2SiRu3 | Alexandria | PBE | relaxed; values from VASP
&SYSTEM
  ibrav = 0, nat = 12, ntyp = 3
/
ATOMIC_SPECIES
V 50.94 V.upf
Si 28.09 Si.upf
Ru 101.07 Ru.upf
ATOMIC_POSITIONS angstrom
V 0.0000 0.0000 0.0000
V -0.0121 0.0000 3.0373
V 2.0768 2.0957 3.0457
V 4.1657 4.1781 3.0541
Si 2.0889 2.0394 0.0084
Si 4.1778 4.2344 0.0168
Ru 4.1594 2.1238 4.6563
Ru 2.0830 0.0000 1.4829
Ru 2.0831 4.1500 1.4435
Ru 4.1720 2.1238 1.4518
Ru 2.0705 4.1500 4.6479
Ru 2.0706 0.0000 4.6085
CELL_PARAMETERS angstrom
4.1778 0.0000 0.0168
2.0889 6.2738 0.0084
-0.0241 0.0000 6.0746
! Magnetization   0.00 μB per formula unit
! Space-group type   Cmmm

=====

! V3SiRu4 | Alexandria | PBE | relaxed; values from VASP
&SYSTEM
  ibrav = 0, nat = 8, ntyp = 3
/
ATOMIC_SPECIES
Ru 101.07 Ru.upf
Si 28.09 Si.upf
V 50.94 V.upf
ATOMIC_POSITIONS angstrom
Ru 5.1778 3.1632 4.7630
Ru 2.2064 1.3480 7.3944
Ru 0.7193 0.4395 4.9977
Ru 3.6907 2.2547 2.3663
Si 0.0000 0.0000 0.0000
V 1.4566 0.8899 2.5001
V 4.4405 2.7128 7.2606
V 2.9486 1.8013 4.8803
CELL_PARAMETERS angstrom
4.0374 0.0000 1.1918
1.8428 3.5923 1.1918
0.0170 0.0104 7.3771
! Magnetization   1.12 μB per formula unit
! Space-group type   R-3m

=====

! V3SiRu | Alexandria | PBE | relaxed; values from VASP
&SYSTEM
  ibrav = 0, nat = 5, ntyp = 3
/
ATOMIC_SPECIES
Ru 101.07 Ru.upf
Si 28.09 Si.upf
V 50.94 V.upf
ATOMIC_POSITIONS angstrom
Ru 2.1536 2.1536 2.1536
Si 0.0000 0.0000 0.0000
V 0.0000 2.1536 0.0000
V 0.0000 0.0000 2.1536
V 2.1536 0.0000 0.0000
CELL_PARAMETERS angstrom
4.3071 0.0000 0.0000
0.0000 4.3071 0.0000
0.0000 0.0000 4.3071
! Energy above the lowest structure with this stoichiometry   0.815 eV per atom
! Magnetization   0.00 μB per formula unit
! Space-group type   Pm-3m

=====

! VSi2Ru4 | Alexandria | PBE | relaxed; values from VASP
&SYSTEM
  ibrav = 0, nat = 7, ntyp = 3
/
ATOMIC_SPECIES
V 50.94 V.upf
Si 28.09 Si.upf
Ru 101.07 Ru.upf
ATOMIC_POSITIONS angstrom
V 0.0000 0.0000 0.0000
Si 4.2575 2.6182 7.1219
Si 1.4045 0.8637 2.4209
Ru 4.9728 3.0580 4.8325
Ru 0.6893 0.4239 4.7103
Ru 3.5684 2.1944 2.4112
Ru 2.0936 1.2875 7.1316
CELL_PARAMETERS angstrom
3.9374 0.0000 1.2301
1.7765 3.5138 1.2301
-0.0519 -0.0319 7.0825
! Energy above the lowest structure with this stoichiometry   0.000 eV per atom
! Magnetization   0.00 μB per formula unit
! Space-group type   R-3m

=====

! VSi3Ru4 | Alexandria | PBE | relaxed; values from VASP
&SYSTEM
  ibrav = 0, nat = 16, ntyp = 3
/
ATOMIC_SPECIES
Ru 101.07 Ru.upf
Si 28.09 Si.upf
V 50.94 V.upf
ATOMIC_POSITIONS angstrom
Ru 2.0856 4.4852 0.0000
Ru 2.0856 4.4852 4.1713
Ru 2.0856 1.4419 0.0000
Ru 2.0856 1.4419 4.1713
Ru 4.1709 4.4852 6.2570
Ru 0.0004 4.4852 2.0857
Ru 0.0004 1.4419 2.0857
Ru 4.1709 1.4419 6.2570
Si 0.0000 0.0000 0.0000
Si 0.0000 0.0000 4.1713
Si 2.0850 0.0000 6.2570
Si 2.0863 0.0000 2.0857
Si 2.0856 2.9635 6.2570
Si 2.0857 2.9635 2.0857
V 0.0000 2.9635 0.0000
V 0.0000 2.9635 4.1713
CELL_PARAMETERS angstrom
4.1713 0.0000 0.0000
0.0000 5.9270 0.0000
0.0000 0.0000 8.3426
! Magnetization   1.01 μB per formula unit
! Space-group type   P4/mmm

=====

Looking at theoretical density for the records above, in order, we have 7.24 9.04 9.09 5.86 8.64 8.69 g/cm3.
Looking at calculated volume for the records above, in order, we have 117.22 159.22 106.89 79.90 98.30 206.26 Å³ per cell.
Looking at uncorrected formation energy for the records above, in order, we have 764 -459 -426 861 -400 -591 meV per atom.